Entry 1:
Entry from Alexandria: a geometry-optimized YTa2Au structure (PBE).

Properties
Magnetization: 0.00 μB/cell
ΔH_f (0 K): 0.1469 eV/atom
Crystal system: tetragonal
DOS at the Fermi energy: 1.226 states/eV/atom
Space-group type: No. 123

Cell: 4.093 4.093 4.855 Å, 90.00 90.00 90.00°
Positions (direct):
1 Y 0.000 0.000 0.000
2 Ta 0.000 0.500 0.500
3 Ta 0.500 0.000 0.500
4 Au 0.500 0.500 0.000

Entry 2:
Entry from Alexandria: a geometry-optimized MnVMoCl2 structure (PBE).

Properties
Magnetization: 1.75 μB/cell
Formation energy (no corrections): 892 meV/atom
Crystal system: tetragonal
DOS at the Fermi energy: 1.095 states/eV/atom
Space-group type: No. 123

Cell: 4.735 4.735 4.926 Å, 90.00 90.00 90.00°
Positions (direct):
1 Mn 0.000 0.000 0.000
2 V 0.500 0.500 0.000
3 Mo 0.000 0.000 0.500
4 Cl 0.000 0.500 0.500
5 Cl 0.500 0.000 0.500

Entry 3:
Entry from Alexandria: a geometry-optimized Cu3NiCl structure (PBE).

Properties
Magnetization: 0.00 μB/cell
Formation energy (no corrections): 1013 meV/atom
Crystal system: cubic
DOS at the Fermi energy: 0.427 states/eV/atom
Space-group type: No. 221

Cell: 4.355 4.355 4.355 Å, 90.00 90.00 90.00°
Positions (direct):
1 Cu 0.000 0.000 0.500
2 Cu 0.000 0.500 0.000
3 Cu 0.500 0.000 0.000
4 Ni 0.500 0.500 0.500
5 Cl 0.000 0.000 0.000

Entry 4:
Entry from Alexandria: a geometry-optimized MgZrSi2 structure (PBE).

Properties
Magnetization: 0.00 μB/cell
Formation energy (no corrections): -121 meV/atom
Crystal system: trigonal
DOS at the Fermi energy: 0.494 states/eV/atom
Space-group type: No. 166

Cell: 8.787 8.787 8.787 Å, 20.66 20.66 20.66°
Positions (direct):
1 Mg 0.000 0.000 0.000
2 Zr 0.500 0.500 0.500
3 Si 0.250 0.250 0.250
4 Si 0.750 0.750 0.750